Density functional theory data (PBE) for a relaxed structure of YThMg.

For the energy above the most stable polymorph in this dataset, the calculation gives 0 meV/atom. For the density, the calculation gives 6.5 Mg/m³. The value obtained for the energy relative to the elements is -33 meV per atom. Its final energy is -5.192 eV per atom.

The structure belongs to space group P4/nmm (No. 129, origin choice 2); the cell edges are 3.567, 3.567 and 13.824 Å and the angles 90.00°, 90.00° and 90.00°. Symmetry generates all atoms from Y at (0.250, 0.250, 0.229), Th at (0.250, 0.250, 0.589) and Mg at (0.250, 0.250, 0.935).